LaPa2S4 after structural relaxation, computed with GGA-PBE.

Cell: 3.894 6.754 13.255 Å, 90.00 90.00 106.75°
Each line ends with the local moment (μB).
Fractional positions:
La 0.615 0.231 0.750  0.06
La 0.385 0.769 0.250  0.06
Pa 0.136 0.272 0.439  0.86
Pa 0.864 0.728 0.939  0.86
Pa 0.136 0.272 0.061  0.86
Pa 0.864 0.728 0.561  0.86
S 0.770 0.541 0.128  -0.02
S 0.770 0.541 0.372  -0.02
S 0.230 0.459 0.872  -0.02
S 0.230 0.459 0.628  -0.02
S 0.948 0.896 0.750  -0.01
S 0.052 0.104 0.250  -0.01
S 0.500 0.000 0.000  -0.03
S 0.500 0.000 0.500  -0.03

Calculated values
Magnetic moment, μB per atom: 0.3242
Formation energy without anion corrections, eV/atom: -1.723
V, Å³ per cell: 333.81